1.
A plane-wave DFT calculation with PBE was carried out for a geometry-optimized Zr2CoSiSe structure.

Lattice parameters (Å, degrees): 4.9478 4.1407 4.9478 90.00 90.00 90.00
Fractional coordinates of all 5 atoms:
Si  0.5000  0.5000  0.5000
Co  0.0000  0.0000  0.0000
Se  0.0000  0.5000  0.0000
Zr  0.0000  0.0000  0.5000
Zr  0.5000  0.0000  0.0000

Formation energy from raw total energies: 90.6 meV/atom
Space-group type: P4/mmm (123)

---

2.
A plane-wave DFT calculation with PBE was carried out for a geometry-optimized SmCoSe2 structure.

Lattice parameters (Å, degrees): 3.6485 3.6485 8.4284 77.50 77.50 60.00
Fractional coordinates of all 4 atoms:
Co  0.5000  0.5000  0.5000
Se  0.1179  0.1179  0.6463
Se  0.8821  0.8821  0.3537
Sm  0.0000  0.0000  0.0000

Formation energy from raw total energies: -365.9 meV/atom
Space-group type: R-3m (166)

---

3.
A plane-wave DFT calculation with PBE was carried out for a geometry-optimized Sm3CoSe structure.

Lattice parameters (Å, degrees): 3.9046 8.4788 7.9407 105.53 90.00 90.00
Fractional coordinates of all 10 atoms:
Sm  0.2500  0.5936  0.3291
Sm  0.7500  0.4064  0.6709
Sm  0.2500  0.0590  0.6924
Sm  0.7500  0.2492  0.0792
Sm  0.7500  0.9410  0.3076
Sm  0.2500  0.7508  0.9208
Co  0.7500  0.5753  0.0555
Co  0.2500  0.4247  0.9445
Se  0.7500  0.7648  0.6126
Se  0.2500  0.2352  0.3874

Formation energy from raw total energies: -729.9 meV/atom
Space-group type: P2_1/m (11)

---

4.
A plane-wave DFT calculation with PBE was carried out for a geometry-optimized Sm6CoSe5 structure.

Lattice parameters (Å, degrees): 7.2164 7.2536 7.2334 59.91 80.30 70.37
Fractional coordinates of all 12 atoms:
Co  0.0000  0.0000  0.0000
Se  0.5000  0.1760  0.6480
Se  0.0000  0.3346  0.3309
Se  0.5000  0.5000  0.0000
Se  0.0000  0.6654  0.6691
Se  0.5000  0.8240  0.3520
Sm  0.7668  0.0767  0.3096
Sm  0.2332  0.6137  0.3096
Sm  0.2376  0.2307  0.0000
Sm  0.7624  0.7693  0.0000
Sm  0.7668  0.3863  0.6904
Sm  0.2332  0.9233  0.6904

Formation energy from raw total energies: -1545.5 meV/atom
Space-group type: C2/m (12)

---

5.
A plane-wave DFT calculation with PBE was carried out for a geometry-optimized Sm3Co5Se12 structure.

Lattice parameters (Å, degrees): 13.2502 13.2502 13.2502 109.47 109.47 109.47
Fractional coordinates of all 80 atoms:
Sm  0.7500  0.3750  0.1250
Sm  0.8750  0.7500  0.1250
Sm  0.3750  0.7500  0.6250
Sm  0.2500  0.1250  0.3750
Sm  0.8750  0.1250  0.2500
Sm  0.3750  0.6250  0.2500
Sm  0.6250  0.3750  0.7500
Sm  0.1250  0.8750  0.7500
Sm  0.7500  0.8750  0.6250
Sm  0.6250  0.2500  0.3750
Sm  0.1250  0.2500  0.8750
Sm  0.2500  0.6250  0.8750
Co  0.1250  0.3750  0.2500
Co  0.0000  0.5000  0.0000
Co  0.0000  0.0000  0.0000
Co  0.3750  0.2500  0.1250
Co  0.5000  0.0000  0.5000
Co  0.5000  0.5000  0.0000
Co  0.1250  0.7500  0.3750
Co  0.7500  0.1250  0.8750
Co  0.7500  0.6250  0.3750
Co  0.3750  0.1250  0.7500
Co  0.6250  0.8750  0.2500
Co  0.5000  0.5000  0.5000
Co  0.5000  0.0000  0.0000
Co  0.0000  0.0000  0.5000
Co  0.2500  0.3750  0.6250
Co  0.2500  0.8750  0.1250
Co  0.0000  0.5000  0.5000
Co  0.8750  0.2500  0.6250
Co  0.6250  0.7500  0.8750
Co  0.8750  0.6250  0.7500
Se  0.6998  0.1126  0.0230
Se  0.3232  0.5230  0.4104
Se  0.9770  0.3874  0.3002
Se  0.5230  0.1998  0.1126
Se  0.5872  0.6998  0.6768
Se  0.9770  0.5896  0.1768
Se  0.3232  0.8002  0.4128
Se  0.0896  0.9128  0.1126
Se  0.5896  0.9770  0.6768
Se  0.6998  0.5872  0.1768
Se  0.8002  0.4770  0.3874
Se  0.8232  0.9104  0.0230
Se  0.1126  0.6998  0.5230
Se  0.3874  0.4104  0.0872
Se  0.0872  0.9104  0.3874
Se  0.4128  0.1126  0.5896
Se  0.0872  0.1768  0.1998
Se  0.4770  0.6768  0.0896
Se  0.8232  0.9128  0.3002
Se  0.1126  0.4128  0.0896
Se  0.3874  0.9770  0.8002
Se  0.5896  0.6126  0.4128
Se  0.9104  0.8232  0.5230
Se  0.8002  0.3232  0.9128
Se  0.4104  0.3874  0.5872
Se  0.0896  0.1768  0.4770
Se  0.1998  0.6768  0.0872
Se  0.1768  0.0872  0.6998
Se  0.6126  0.0230  0.1998
Se  0.8874  0.5872  0.9104
Se  0.5230  0.3232  0.9104
Se  0.5872  0.8874  0.4104
Se  0.9128  0.8232  0.8002
Se  0.9128  0.0896  0.6126
Se  0.8874  0.3002  0.4770
Se  0.1768  0.0896  0.9770
Se  0.6126  0.5896  0.9128
Se  0.4104  0.0230  0.3232
Se  0.3002  0.4128  0.8232
Se  0.1998  0.5230  0.6126
Se  0.9104  0.0872  0.8874
Se  0.6768  0.1998  0.5872
Se  0.4770  0.8002  0.8874
Se  0.0230  0.4104  0.8232
Se  0.4128  0.3002  0.3232
Se  0.0230  0.6126  0.6998
Se  0.6768  0.4770  0.5896
Se  0.3002  0.8874  0.9770

Formation energy from raw total energies: -711.1 meV/atom
Space-group type: Ia-3d (230)

---

6.
A plane-wave DFT calculation with PBE was carried out for a geometry-optimized Sm2CoSe structure.

Lattice parameters (Å, degrees): 4.0671 4.1453 11.7286 100.18 90.00 90.00
Fractional coordinates of all 8 atoms:
Sm  0.7500  0.6809  0.3618
Sm  0.2500  0.3191  0.6382
Sm  0.7500  0.9357  0.8714
Sm  0.2500  0.0643  0.1286
Co  0.2500  0.4773  0.9547
Co  0.7500  0.5227  0.0453
Se  0.2500  0.1922  0.3843
Se  0.7500  0.8078  0.6157

Formation energy from raw total energies: -944.9 meV/atom
Space-group type: Cmcm (63)